(1)
Li7Cd2Ag3 after structural relaxation. Source: Alexandria, functional PBE-GGA.

The structure in CIF format:
```
data_Li7Cd2Ag3
_symmetry_space_group_name_H-M 'P 1'
_symmetry_Int_Tables_number 1
_cell_length_a 2.981
_cell_length_b 4.659
_cell_length_c 15.864
_cell_angle_alpha 100.31
_cell_angle_beta 90.00
_cell_angle_gamma 90.00
loop_
_symmetry_equiv_pos_as_xyz
'x,y,z'
loop_
_atom_site_label
_atom_site_type_symbol
_atom_site_fract_x
_atom_site_fract_y
_atom_site_fract_z
_atom_site_occupancy
Li1 Li 0.500 0.730 0.466 1
Li2 Li 0.500 0.270 0.534 1
Li3 Li 0.000 0.557 0.140 1
Li4 Li 0.000 0.000 0.000 1
Li5 Li 0.000 0.443 0.860 1
Li6 Li 0.500 0.912 0.802 1
Li7 Li 0.500 0.088 0.198 1
Cd1 Cd 0.500 0.646 0.295 1
Cd2 Cd 0.500 0.354 0.705 1
Ag1 Ag 0.500 0.500 0.000 1
Ag2 Ag 0.000 0.192 0.376 1
Ag3 Ag 0.000 0.808 0.624 1
```

Properties
Symmetry: No. 10

---

(2)
Li3Cd2Ag4 after structural relaxation. Source: Alexandria, functional PBE-GGA.

The structure in CIF format:
```
data_Li3Cd2Ag4
_symmetry_space_group_name_H-M 'P 1'
_symmetry_Int_Tables_number 1
_cell_length_a 5.072
_cell_length_b 5.052
_cell_length_c 7.722
_cell_angle_alpha 71.16
_cell_angle_beta 89.97
_cell_angle_gamma 60.26
loop_
_symmetry_equiv_pos_as_xyz
'x,y,z'
loop_
_atom_site_label
_atom_site_type_symbol
_atom_site_fract_x
_atom_site_fract_y
_atom_site_fract_z
_atom_site_occupancy
Li1 Li 0.544 0.218 0.672 1
Li2 Li 0.000 0.000 0.000 1
Li3 Li 0.456 0.782 0.328 1
Cd1 Cd 0.774 0.114 0.331 1
Cd2 Cd 0.226 0.886 0.669 1
Ag1 Ag 0.332 0.329 0.001 1
Ag2 Ag 0.886 0.550 0.667 1
Ag3 Ag 0.114 0.450 0.333 1
Ag4 Ag 0.668 0.671 0.999 1
```

Properties
Symmetry: No. 2
E above lowest polymorph (eV per atom): 0.000

---

(3)
LiCd2Ag2 after structural relaxation. Source: Alexandria, functional PBE-GGA.

The structure in CIF format:
```
data_LiCd2Ag2
_symmetry_space_group_name_H-M 'P 1'
_symmetry_Int_Tables_number 1
_cell_length_a 4.290
_cell_length_b 5.192
_cell_length_c 5.071
_cell_angle_alpha 82.08
_cell_angle_beta 64.98
_cell_angle_gamma 65.60
loop_
_symmetry_equiv_pos_as_xyz
'x,y,z'
loop_
_atom_site_label
_atom_site_type_symbol
_atom_site_fract_x
_atom_site_fract_y
_atom_site_fract_z
_atom_site_occupancy
Li1 Li 0.500 0.500 0.000 1
Cd1 Cd 0.705 0.699 0.390 1
Cd2 Cd 0.295 0.301 0.610 1
Ag1 Ag 0.101 0.100 0.197 1
Ag2 Ag 0.899 0.900 0.803 1
```

Properties
Symmetry: No. 12
E above lowest polymorph (eV per atom): 0.000

---

Across the entries above, DFT formation energy takes the values -0.12, -0.19, -0.16 eV per atom, respectively.
Across the entries above, raw total energy takes the values -0.0774, -0.0846, -0.0751 Ha/atom, respectively.